Below is a relaxed Ni2Bi2Pb crystal, with properties calculated at the PBE-GGA level.

Values from the calculation:
ρ ... 10697 kg/m³
Total magnetic moment ... 0.000 μB per cell
E above lowest polymorph ... 299 meV per atom
VASP energy ... -4.282 eV/atom
DFT formation energy ... 325 meV/atom

a b c (Å): 8.4038 8.4038 3.2641
angles (deg): 90.00 90.00 90.00
Closest atoms and distances in Å follow each position.
Fractional coordinates of all 10 atoms:
Bi1 0.3512 0.8512 0.0000  4 Ni 2.79
Bi2 0.1488 0.3512 0.0000  4 Ni 2.79
Bi3 0.8512 0.6488 0.0000  4 Ni 2.79
Bi4 0.6488 0.1488 0.0000  4 Ni 2.79
Ni1 0.1181 0.6181 0.5000  4 Bi 2.79, 1 Ni 2.81
Ni2 0.6181 0.8819 0.5000  4 Bi 2.79, 1 Ni 2.81
Ni3 0.3819 0.1181 0.5000  4 Bi 2.79, 1 Ni 2.81
Ni4 0.8819 0.3819 0.5000  4 Bi 2.79, 1 Ni 2.81
Pb1 0.0000 0.0000 0.0000  4 Bi 3.21, 2 Pb 3.26
Pb2 0.5000 0.5000 0.0000  4 Bi 3.21, 2 Pb 3.26



Below is a relaxed BeMo3S crystal, with properties calculated at the PBE-GGA level.

Values from the calculation:
ρ ... 6483 kg/m³
Total magnetic moment ... 0.000 μB per cell
E above lowest polymorph ... 0 meV per atom
VASP energy ... -7.349 eV/atom
ΔE_f (raw) ... 0.7205 eV per atom

a b c (Å): 4.3838 4.3838 4.3838
angles (deg): 90.00 90.00 90.00
Closest atoms and distances in Å follow each position.
Fractional coordinates of all 5 atoms:
Mo1 0.0000 0.5000 0.0000  2 S 2.19
Mo2 0.5000 0.0000 0.0000  2 S 2.19
Mo3 0.0000 0.0000 0.5000  2 S 2.19
Be1 0.5000 0.5000 0.5000  12 Mo 3.10
S1 0.0000 0.0000 0.0000  6 Mo 2.19



Below is a relaxed CaMg crystal, with properties calculated at the PBE-GGA level.

Values from the calculation:
ρ ... 1571 kg/m³
Total magnetic moment ... 0.000 μB per cell
VASP energy ... -1.692 eV/atom
DFT formation energy ... 106 meV/atom

a b c (Å): 12.3316 12.3316 3.5799
angles (deg): 90.00 90.00 90.00
Closest atoms and distances in Å follow each position.
Fractional coordinates of all 16 atoms:
Mg1 0.1226 0.4210 0.0000  4 Mg 3.11, 4 Ca 3.38-3.48
Mg2 0.3774 0.0790 0.5000  4 Mg 3.11, 4 Ca 3.38-3.48
Mg3 0.5790 0.1226 0.0000  4 Mg 3.11, 4 Ca 3.38-3.48
Mg4 0.9210 0.3774 0.5000  4 Mg 3.11, 4 Ca 3.38-3.48
Mg5 0.8774 0.5790 0.0000  4 Mg 3.11, 4 Ca 3.38-3.48
Mg6 0.4210 0.8774 0.0000  4 Mg 3.11, 4 Ca 3.38-3.48
Mg7 0.6226 0.9210 0.5000  4 Mg 3.11, 4 Ca 3.38-3.48
Mg8 0.0790 0.6226 0.5000  4 Mg 3.11, 4 Ca 3.38-3.48
Ca1 0.8202 0.1225 0.5000  4 Mg 3.38-3.48, 2 Ca 3.58
Ca2 0.6225 0.6798 0.0000  4 Mg 3.38-3.48, 2 Ca 3.58
Ca3 0.1798 0.8775 0.5000  4 Mg 3.38-3.48, 2 Ca 3.58
Ca4 0.8775 0.8202 0.5000  4 Mg 3.38-3.48, 2 Ca 3.58
Ca5 0.3775 0.3202 0.0000  4 Mg 3.38-3.48, 2 Ca 3.58
Ca6 0.6798 0.3775 0.0000  4 Mg 3.38-3.48, 2 Ca 3.58
Ca7 0.1225 0.1798 0.5000  4 Mg 3.38-3.48, 2 Ca 3.58
Ca8 0.3202 0.6225 0.0000  4 Mg 3.38-3.48, 2 Ca 3.58



Below is a relaxed ZnCrCl2 crystal, with properties calculated at the PBE-GGA level.

Values from the calculation:
ρ ... 3343 kg/m³
Total magnetic moment ... 4.364 μB per cell
E above lowest polymorph ... 422 meV per atom
VASP energy ... -3.709 eV/atom
ΔE_f (raw) ... -0.0616 eV per atom

a b c (Å): 8.1445 8.1445 8.1445
angles (deg): 26.31 26.31 26.31
Closest atoms and distances in Å follow each position.
Fractional coordinates of all 4 atoms:
Cl1 0.0999 0.0999 0.0999  1 Cr 2.36
Cl2 0.9001 0.9001 0.9001  1 Cr 2.36
Zn1 0.5000 0.5000 0.5000  6 Cl 2.66
Cr1 0.0000 0.0000 0.0000  2 Cl 2.36



Below is a relaxed Sc2OsSe crystal, with properties calculated at the PBE-GGA level.

Values from the calculation:
ρ ... 7326 kg/m³
Total magnetic moment ... 0.000 μB per cell
VASP energy ... -7.482 eV/atom
ΔE_f (raw) ... -0.6377 eV per atom

a b c (Å): 3.8046 3.8046 5.6232
angles (deg): 90.00 90.00 90.01
Closest atoms and distances in Å follow each position.
Fractional coordinates of all 4 atoms:
Os1 0.5000 0.5000 0.8644  5 Sc 2.42-2.71
Sc1 0.5000 0.5000 0.2954  1 Os 2.42
Sc2 0.0000 0.0000 0.9221  4 Os 2.71, 2 Se 2.79-2.83
Se1 0.0000 0.0000 0.4181  6 Sc 2.78-2.83



Below is a relaxed EuCuO3 crystal, with properties calculated at the PBE-GGA level.

Values from the calculation:
ρ ... 6132 kg/m³
Total magnetic moment ... 23.968 μB per cell
VASP energy ... -7.412 eV/atom
ΔE_f (raw) ... -1.5632 eV per atom

a b c (Å): 7.9566 7.9566 6.4489
angles (deg): 69.97 69.97 48.99
Closest atoms and distances in Å follow each position.
Fractional coordinates of all 20 atoms:
Cu1 0.4848 0.3377 0.0003  4 O 1.84-1.85
Cu2 0.5152 0.6623 0.9997  4 O 1.84-1.85
Cu3 0.3377 0.4848 0.5003  4 O 1.84-1.85
Cu4 0.6623 0.5152 0.4997  4 O 1.84-1.85
O1 0.6425 0.2934 0.5151  2 Cu 1.84-1.85
O2 0.0283 0.6680 0.5299  1 Cu 1.84
O3 0.6680 0.0283 0.0299  1 Cu 1.84
O4 0.2355 0.3601 0.0083  1 Cu 1.85
O5 0.3575 0.7066 0.4849  2 Cu 1.84-1.85
O6 0.3601 0.2355 0.5083  1 Cu 1.85
O7 0.7645 0.6399 0.9917  1 Cu 1.85
O8 0.2934 0.6425 0.0151  2 Cu 1.84-1.85
O9 0.9717 0.3320 0.4701  1 Cu 1.84
O10 0.6399 0.7645 0.4917  1 Cu 1.85
O11 0.3320 0.9717 0.9701  1 Cu 1.84
O12 0.7066 0.3575 0.9849  2 Cu 1.84-1.85
Eu1 0.6690 0.9562 0.7013  7 O 2.36-2.60
Eu2 0.0438 0.3310 0.7987  7 O 2.36-2.60
Eu3 0.9562 0.6690 0.2013  7 O 2.36-2.60
Eu4 0.3310 0.0438 0.2987  7 O 2.36-2.60



Below is a relaxed NaTb4Mg5 crystal, with properties calculated at the PBE-GGA level.

Values from the calculation:
ρ ... 4654 kg/m³
Total magnetic moment ... 0.000 μB per cell
VASP energy ... -2.819 eV/atom
DFT formation energy ... -37 meV/atom

a b c (Å): 3.7722 3.7722 19.5621
angles (deg): 90.00 90.00 90.00
Closest atoms and distances in Å follow each position.
Fractional coordinates of all 10 atoms:
Tb1 0.0000 0.0000 0.4030  8 Mg 3.27
Tb2 0.0000 0.0000 0.5970  8 Mg 3.27
Tb3 0.0000 0.0000 0.2100  8 Mg 3.27-3.33
Tb4 0.0000 0.0000 0.7900  8 Mg 3.27-3.33
Mg1 0.5000 0.5000 0.6936  8 Tb 3.27
Mg2 0.5000 0.5000 0.8915  4 Tb 3.33, 4 Na 3.41
Mg3 0.5000 0.5000 0.3064  8 Tb 3.27
Mg4 0.5000 0.5000 0.5000  8 Tb 3.27
Mg5 0.5000 0.5000 0.1085  4 Tb 3.33, 4 Na 3.41
Na1 0.0000 0.0000 0.0000  8 Mg 3.41, 4 Na 3.77



Below is a relaxed Tb3Sm2Er6Pb crystal, with properties calculated at the PBE-GGA level.

Values from the calculation:
ρ ... 8982 kg/m³
Total magnetic moment ... 0.000 μB per cell
VASP energy ... -4.597 eV/atom
DFT formation energy ... -62 meV/atom

a b c (Å): 6.0775 6.0775 11.6737
angles (deg): 95.00 95.00 120.03
Closest atoms and distances in Å follow each position.
Fractional coordinates of all 12 atoms:
Er1 0.0823 0.4102 0.2493  6 Er 3.45-3.54, 1 Pb 3.49, 3 Tb 3.51-3.54, 2 Sm 3.52
Er2 0.5898 0.9177 0.7507  6 Er 3.45-3.54, 1 Pb 3.49, 3 Tb 3.51-3.54, 2 Sm 3.52
Er3 0.4102 0.0823 0.2493  6 Er 3.45-3.54, 1 Pb 3.49, 3 Tb 3.51-3.54, 2 Sm 3.52
Er4 0.2451 0.2451 0.7496  6 Er 3.45-3.54, 1 Pb 3.50, 3 Tb 3.51-3.53, 2 Sm 3.52
Er5 0.7549 0.7549 0.2504  6 Er 3.45-3.54, 1 Pb 3.50, 3 Tb 3.51-3.53, 2 Sm 3.52
Er6 0.9177 0.5898 0.7507  6 Er 3.45-3.54, 1 Pb 3.49, 3 Tb 3.51-3.54, 2 Sm 3.52
Tb1 0.8327 0.1673 0.5000  6 Tb 3.50-3.52, 6 Er 3.51-3.54
Tb2 0.5000 0.5000 0.5000  6 Tb 3.50-3.51, 6 Er 3.51-3.53
Tb3 0.1673 0.8327 0.5000  6 Tb 3.50-3.52, 6 Er 3.51-3.54
Pb1 0.0000 0.0000 0.0000  6 Er 3.49-3.50, 6 Sm 3.51
Sm1 0.6661 0.3339 0.0000  3 Sm 3.50-3.51, 3 Pb 3.51, 6 Er 3.52
Sm2 0.3339 0.6661 0.0000  3 Sm 3.50-3.51, 3 Pb 3.51, 6 Er 3.52